(1)
# GaCuOs2

A geometry-optimized GaCuOs2 structure (PBE, OQMD via LeMat-Bulk).

* ρ: 15.3 g/cm³
* total DFT energy (no corrections): -6.974 eV per atom
* space group: F-43m (216)
* calculated volume: 14.0 Å³ per atom

a b c (Å): 4.290 4.290 4.290
angles (deg): 60.00 60.00 60.00
Positions (direct):
Os1 0.750 0.750 0.750
Os2 0.000 0.000 0.000
Ga1 0.500 0.500 0.500
Cu1 0.250 0.250 0.250



(2)
# GaCuOs

A geometry-optimized GaCuOs structure (PBE, OQMD via LeMat-Bulk).

* ρ: 10.7 g/cm³
* total DFT energy (no corrections): -5.382 eV per atom
* space group: F-43m (216)
* calculated volume: 16.7 Å³ per atom

a b c (Å): 4.135 4.135 4.135
angles (deg): 60.00 60.00 60.00
Positions (direct):
Os1 0.000 0.000 0.000
Ga1 0.750 0.750 0.750
Cu1 0.250 0.250 0.250



(3)
# GaCu2Os

A geometry-optimized GaCu2Os structure (PBE, OQMD via LeMat-Bulk).

* ρ: 12.2 g/cm³
* total DFT energy (no corrections): -5.250 eV per atom
* space group: F-43m (216)
* calculated volume: 13.2 Å³ per atom

a b c (Å): 4.213 4.213 4.213
angles (deg): 60.00 60.00 60.00
Positions (direct):
Ga1 0.500 0.500 0.500
Cu1 0.750 0.750 0.750
Cu2 0.000 0.000 0.000
Os1 0.250 0.250 0.250



(4)
# GaCuReOs

A geometry-optimized GaCuReOs structure (PBE, OQMD via LeMat-Bulk).

* ρ: 15.1 g/cm³
* energy above the most stable polymorph in this dataset: 0 meV per atom
* space group: F-43m (216)
* calculated volume: 14.0 Å³ per atom

a b c (Å): 4.299 4.299 4.299
angles (deg): 60.00 60.00 60.00
Positions (direct):
Re1 0.500 0.500 0.500
Ga1 0.000 0.000 0.000
Os1 0.250 0.250 0.250
Cu1 0.750 0.750 0.750



(5)
# GaCuTeOs

A geometry-optimized GaCuTeOs structure (PBE, OQMD via LeMat-Bulk).

* ρ: 11.4 g/cm³
* energy above the most stable polymorph in this dataset: 0 meV per atom
* space group: F-43m (216)
* calculated volume: 16.5 Å³ per atom

a b c (Å): 4.532 4.532 4.532
angles (deg): 60.00 60.00 60.00
Positions (direct):
Te1 0.500 0.500 0.500
Cu1 0.750 0.750 0.750
Ga1 0.000 0.000 0.000
Os1 0.250 0.250 0.250



(6)
# YGaCuOs

A geometry-optimized YGaCuOs structure (PBE, OQMD via LeMat-Bulk).

* ρ: 9.8 g/cm³
* energy above the most stable polymorph in this dataset: 262 meV per atom
* space group: F-43m (216)
* calculated volume: 17.5 Å³ per atom

a b c (Å): 4.629 4.629 4.629
angles (deg): 60.00 60.00 60.00
Positions (direct):
Y1 0.250 0.250 0.250
Os1 0.500 0.500 0.500
Cu1 0.750 0.750 0.750
Ga1 0.000 0.000 0.000



(7)
# YGaCuOs

A geometry-optimized YGaCuOs structure (PBE, OQMD via LeMat-Bulk).

* ρ: 10.1 g/cm³
* energy above the most stable polymorph in this dataset: 0 meV per atom
* space group: F-43m (216)
* calculated volume: 17.0 Å³ per atom

a b c (Å): 4.585 4.585 4.585
angles (deg): 60.00 60.00 60.00
Positions (direct):
Y1 0.500 0.500 0.500
Os1 0.250 0.250 0.250
Ga1 0.000 0.000 0.000
Cu1 0.750 0.750 0.750



(8)
# GaCuP

A geometry-optimized GaCuP structure (PBE, OQMD via LeMat-Bulk).

* ρ: 5.7 g/cm³
* energy above the most stable polymorph in this dataset: 0 meV per atom
* space group: F-43m (216)
* calculated volume: 16.1 Å³ per atom

a b c (Å): 4.086 4.086 4.086
angles (deg): 60.00 60.00 60.00
Positions (direct):
P1 0.250 0.250 0.250
Cu1 0.000 0.000 0.000
Ga1 0.750 0.750 0.750